RbCaAg2N: relaxed, GGA-PBE.

Cell: 5.130 4.628 5.130 Å, 90.00 90.00 90.00°
Element x y z (fractional)
Ca: 0.000 0.500 0.000
Rb: 0.500 0.500 0.500
Ag: 0.000 0.000 0.500
Ag: 0.500 0.000 0.000
N: 0.000 0.000 0.000

Er2Sc4Ge3O2: relaxed, GGA-PBE.

Cell: 4.266 4.266 11.817 Å, 100.40 100.40 90.00°
Element x y z (fractional)
Er: 0.305 0.305 0.609
Er: 0.695 0.695 0.391
Sc: 0.421 0.921 0.841
Sc: 0.921 0.421 0.841
Sc: 0.079 0.579 0.159
Sc: 0.579 0.079 0.159
Ge: 0.000 0.000 0.000
Ge: 0.173 0.173 0.346
Ge: 0.827 0.827 0.654
O: 0.408 0.408 0.816
O: 0.592 0.592 0.184

Table of total magnetic moment (μB per cell), in record order: 0.00 0.00
Table of energy relative to the elements, uncorrected (eV per atom), in record order: 0.300 -1.654